Record 1
Entry from the Alexandria database: a geometry-optimized PmP4Rh6 structure (PBE-GGA).

a = 7.009 Å, b = 7.009 Å, c = 3.780 Å
α = 90.00°, β = 90.00°, γ = 120.00°
Sites, in units of the cell vectors:
1 Pm 0.000 0.000 0.000
2 P 0.333 0.667 0.000
3 P 0.382 0.191 0.500
4 P 0.809 0.191 0.500
5 P 0.809 0.618 0.500
6 Rh 0.198 0.395 0.500
7 Rh 0.198 0.802 0.500
8 Rh 0.533 0.065 0.000
9 Rh 0.533 0.467 0.000
10 Rh 0.605 0.802 0.500
11 Rh 0.935 0.467 0.000

Results
Space group: P-6m2
Volume in Å³/atom: 14.62
Total magnetization in μB per cell: 0.0


Record 2
Entry from the Alexandria database: a geometry-optimized LuScAg2 structure (PBE-GGA).

a = 3.502 Å, b = 3.502 Å, c = 6.983 Å
α = 90.00°, β = 90.00°, γ = 90.00°
Sites, in units of the cell vectors:
1 Lu 0.000 0.000 0.000
2 Sc 0.000 0.000 0.500
3 Ag 0.500 0.500 0.263
4 Ag 0.500 0.500 0.737

Results
Space group: P4/mmm
Energy above the lowest structure with this stoichiometry in eV per atom: 0.000
Volume in Å³/atom: 21.41
Total magnetization in μB per cell: 0.0


Record 3
Entry from the Alexandria database: a geometry-optimized ScTc2Os structure (PBE-GGA).

a = 9.186 Å, b = 9.186 Å, c = 9.186 Å
α = 17.82°, β = 17.82°, γ = 17.82°
Sites, in units of the cell vectors:
1 Sc 0.000 0.000 0.000
2 Tc 0.245 0.245 0.245
3 Tc 0.755 0.755 0.755
4 Os 0.500 0.500 0.500

Results
Space group: R-3m
Energy above the lowest structure with this stoichiometry in eV per atom: 0.247
Volume in Å³/atom: 15.85
Total magnetization in μB per cell: 0.0


Record 4
Entry from the Alexandria database: a geometry-optimized AcGaNi3 structure (PBE-GGA).

a = 6.461 Å, b = 6.461 Å, c = 6.461 Å
α = 133.19°, β = 96.25°, γ = 101.93°
Sites, in units of the cell vectors:
1 Ac 0.299 0.049 0.250
2 Ac 0.701 0.951 0.750
3 Ga 0.000 0.500 0.500
4 Ga 0.500 0.500 0.000
5 Ni 0.088 0.338 0.750
6 Ni 0.223 0.000 0.723
7 Ni 0.223 0.500 0.223
8 Ni 0.777 0.000 0.277
9 Ni 0.777 0.500 0.777
10 Ni 0.912 0.662 0.250

Results
Space group: Imma
Volume in Å³/atom: 18.02
Total magnetization in μB per cell: 0.0


Record 5
Entry from the Alexandria database: a geometry-optimized PmErTh structure (PBE-GGA).

a = 6.806 Å, b = 6.819 Å, c = 10.883 Å
α = 71.83°, β = 81.24°, γ = 61.02°
Sites, in units of the cell vectors:
1 Pm 0.250 0.250 0.000
2 Pm 0.250 0.750 0.001
3 Pm 0.750 0.250 0.999
4 Pm 0.750 0.750 0.000
5 Er 0.001 0.639 0.722
6 Er 0.500 0.139 0.722
7 Er 0.500 0.861 0.278
8 Er 0.999 0.361 0.278
9 Th 0.249 0.969 0.563
10 Th 0.251 0.531 0.436
11 Th 0.749 0.469 0.564
12 Th 0.751 0.031 0.437

Results
Space group: P-1
Energy above the lowest structure with this stoichiometry in eV per atom: 0.346
Volume in Å³/atom: 34.99
Total magnetization in μB per cell: 0.0


Record 6
Entry from the Alexandria database: a geometry-optimized Na2AcHg4 structure (PBE-GGA).

a = 11.056 Å, b = 11.056 Å, c = 11.056 Å
α = 160.68°, β = 153.55°, γ = 32.97°
Sites, in units of the cell vectors:
1 Na 0.199 0.199 0.000
2 Na 0.801 0.801 0.000
3 Ac 0.500 0.000 0.500
4 Hg 0.073 0.573 0.500
5 Hg 0.348 0.348 0.000
6 Hg 0.652 0.652 0.000
7 Hg 0.927 0.427 0.500

Results
Space group: Immm
Volume in Å³/atom: 28.44
Total magnetization in μB per cell: 0.0


| no. | energy relative to the elements (meV/atom) |
| --- | --- |
| 1 | -882 |
| 2 | -304 |
| 3 | 189 |
| 4 | -383 |
| 5 | 372 |
| 6 | -300 |